A relaxed structure of U3TlO9, computed with PBE.

Values from the calculation:
raw formation energy	-2.89	eV/atom
symmetry	P6/mmm, No. 191

Lattice parameters (Å, degrees): 4.185 8.082 8.082 120.00 90.00 90.00
Last column: magnetic moment on the atom in μB.
Positions (direct):
U 0.500 0.500 0.500  0.37
U 0.500 0.000 0.500  0.37
U 0.500 0.500 0.000  0.37
O 0.500 0.207 0.413  -0.02
O 0.000 0.000 0.500  -0.02
O 0.500 0.587 0.793  -0.02
O 0.000 0.500 0.500  -0.02
O 0.500 0.793 0.587  -0.02
O 0.500 0.413 0.207  -0.02
O 0.500 0.793 0.207  -0.02
O 0.000 0.500 0.000  -0.02
O 0.500 0.207 0.793  -0.02
Tl 0.000 0.000 0.000  0.00